[1]
VASP calculation (PBE-GGA) on a relaxed structure of AlPdSe2O.

Unit cell a=5.1557 b=3.3017 c=5.1557 alpha=90.00 beta=90.00 gamma=90.00
Fractional coordinates of all 5 atoms:
Al  0.0000  0.0000  0.0000
O  0.0000  0.5000  0.0000
Se  0.0000  0.0000  0.5000
Se  0.5000  0.0000  0.0000
Pd  0.5000  0.5000  0.5000

Values from the calculation:
* energy relative to the elements, uncorrected: -0.6056 eV per atom
* spin magnetization: 0.0 μB/cell

=====

[2]
VASP calculation (PBE-GGA) on a relaxed structure of AlSn2PdO.

Unit cell a=5.4780 b=3.3947 c=5.4780 alpha=90.00 beta=90.00 gamma=90.00
Fractional coordinates of all 5 atoms:
O  0.0000  0.5000  0.0000
Pd  0.5000  0.5000  0.5000
Sn  0.5000  0.0000  0.0000
Sn  0.0000  0.0000  0.5000
Al  0.0000  0.0000  0.0000

Values from the calculation:
* energy relative to the elements, uncorrected: -0.3969 eV per atom
* spin magnetization: 0.0 μB/cell

=====

[3]
VASP calculation (PBE-GGA) on a relaxed structure of Sr3AlPd2O6.

Unit cell a=5.6403 b=5.6403 c=6.3823 alpha=90.00 beta=90.00 gamma=120.00
Fractional coordinates of all 12 atoms:
Al  0.0000  0.0000  0.5000
O  0.8418  0.6837  0.6799
O  0.1582  0.8418  0.3201
Pd  0.3333  0.6667  0.1313
Sr  0.0000  0.0000  0.0000
O  0.6837  0.8418  0.3201
Sr  0.6667  0.3333  0.3718
O  0.1582  0.3163  0.3201
Pd  0.6667  0.3333  0.8687
O  0.3163  0.1582  0.6799
Sr  0.3333  0.6667  0.6282
O  0.8418  0.1582  0.6799

Values from the calculation:
* energy relative to the elements, uncorrected: -1.7625 eV per atom
* spin magnetization: 0.0 μB/cell